No. 1
VASP calculation (PBE-GGA) on a geometry-optimized TcMoAs2Se structure.

Computed properties:
- DOS at the Fermi energy: 3.2 states/eV/cell
- Energy above the lowest structure with this stoichiometry: 0 meV/atom
- E_form (uncorrected): 465 kJ/mol of formula units
- Crystal system: tetragonal

Cell and atoms, written as POSCAR:
```
TcMoAs2Se
1.0
4.6518 0.0000 0.0000
0.0000 4.6518 0.0000
0.0000 0.0000 5.3307
Tc Mo As Se
1 1 2 1
direct
0.0000 0.0000 0.0000
0.5000 0.5000 0.5000
0.0000 0.5000 0.0000
0.5000 0.0000 0.0000
0.0000 0.0000 0.5000
```

=====

No. 2
VASP calculation (PBE-GGA) on a geometry-optimized InPd structure.

Computed properties:
- DOS at the Fermi energy: 4.3 states/eV/cell
- Crystal system: orthorhombic
- Formation enthalpy at 0 K: -0.3047 eV per atom

Cell and atoms, written as POSCAR:
```
InPd
1.0
4.9542 0.0000 0.0000
0.0000 10.7765 0.0000
0.0000 0.0000 4.8591
In Pd
6 6
direct
0.2500 0.1006 0.1531
0.2500 0.3994 0.1531
0.2500 0.7500 0.5038
0.7500 0.2500 0.4962
0.7500 0.6006 0.8469
0.7500 0.8994 0.8469
0.2500 0.2500 0.6884
0.2500 0.5113 0.6574
0.2500 0.9887 0.6574
0.7500 0.0113 0.3426
0.7500 0.4887 0.3426
0.7500 0.7500 0.3116
```

=====

No. 3
VASP calculation (PBE-GGA) on a geometry-optimized RbYSnS4 structure.

Computed properties:
- DOS at the Fermi energy: 0.0 states/eV/cell
- E_form (uncorrected): -811 kJ/mol of formula units
- Crystal system: monoclinic

Cell and atoms, written as POSCAR:
```
RbYSnS4
1.0
6.8037 0.0000 0.0000
0.0000 6.9955 0.0000
-2.8982 0.0000 8.7842
Rb Y Sn S
2 2 2 8
direct
0.2372 0.2500 0.4445
0.7628 0.7500 0.5555
0.2904 0.2500 0.9517
0.7096 0.7500 0.0483
0.2546 0.7500 0.1601
0.7454 0.2500 0.8399
0.0138 0.7500 0.9105
0.0442 0.7500 0.3219
0.4926 0.5059 0.8052
0.4926 0.9941 0.8052
0.5074 0.0059 0.1948
0.5074 0.4941 0.1948
0.9558 0.2500 0.6781
0.9862 0.2500 0.0895
```

=====

No. 4
VASP calculation (PBE-GGA) on a geometry-optimized TaBe4 structure.

Computed properties:
- DOS at the Fermi energy: 4.1 states/eV/cell
- Energy above the lowest structure with this stoichiometry: 1734 meV/atom
- Crystal system: cubic
- Formation enthalpy at 0 K: 1.5267 eV per atom

Cell and atoms, written as POSCAR:
```
TaBe4
1.0
-2.7675 2.7675 2.7675
2.7675 -2.7675 2.7675
2.7675 2.7675 -2.7675
Ta Be
1 4
direct
0.0000 0.0000 0.0000
0.0000 0.0000 0.5000
0.0000 0.5000 0.0000
0.5000 0.0000 0.0000
0.5000 0.5000 0.5000
```

=====

No. 5
VASP calculation (PBE-GGA) on a geometry-optimized NdZn3Ag2 structure.

Computed properties:
- DOS at the Fermi energy: 5.9 states/eV/cell
- Crystal system: hexagonal
- Formation enthalpy at 0 K: -0.2124 eV per atom

Cell and atoms, written as POSCAR:
```
NdZn3Ag2
1.0
4.5218 0.0000 0.0000
-2.2609 3.9160 0.0000
0.0000 0.0000 13.1656
Nd Zn Ag
2 6 4
direct
0.0000 0.0000 0.2500
0.0000 0.0000 0.7500
0.0000 0.0000 0.0000
0.0000 0.0000 0.5000
0.3333 0.6667 0.1286
0.3333 0.6667 0.3714
0.6667 0.3333 0.6286
0.6667 0.3333 0.8714
0.3333 0.6667 0.5805
0.3333 0.6667 0.9195
0.6667 0.3333 0.0805
0.6667 0.3333 0.4195
```

=====

No. 6
VASP calculation (PBE-GGA) on a geometry-optimized PrCo8P5 structure.

Computed properties:
- DOS at the Fermi energy: 24.8 states/eV/cell
- Crystal system: orthorhombic
- Formation enthalpy at 0 K: -0.7105 eV per atom

Cell and atoms, written as POSCAR:
```
PrCo8P5
1.0
3.5570 0.0000 0.0000
0.0000 10.4345 0.0000
0.0000 0.0000 9.2548
Pr Co P
2 16 10
direct
0.2500 0.2500 0.1778
0.7500 0.7500 0.8222
0.2500 0.0039 0.8889
0.2500 0.0829 0.4785
0.2500 0.2500 0.8500
0.2500 0.4171 0.4785
0.2500 0.4961 0.8889
0.2500 0.6107 0.3036
0.2500 0.7500 0.5471
0.2500 0.8893 0.3036
0.7500 0.1107 0.6964
0.7500 0.2500 0.4529
0.7500 0.3893 0.6964
0.7500 0.5039 0.1111
0.7500 0.5829 0.5215
0.7500 0.7500 0.1500
0.7500 0.9171 0.5215
0.7500 0.9961 0.1111
0.2500 0.2500 0.6147
0.2500 0.5571 0.6608
0.2500 0.6299 0.0674
0.2500 0.8701 0.0674
0.2500 0.9429 0.6608
0.7500 0.0571 0.3392
0.7500 0.1299 0.9326
0.7500 0.3701 0.9326
0.7500 0.4429 0.3392
0.7500 0.7500 0.3853
```

=====

No. 7
VASP calculation (PBE-GGA) on a geometry-optimized Cd2ReSb structure.

Computed properties:
- DOS at the Fermi energy: 0.9 states/eV/cell
- E_form (uncorrected): 177 kJ/mol of formula units
- Crystal system: monoclinic

Cell and atoms, written as POSCAR:
```
Cd2ReSb
1.0
4.7060 -1.8024 0.0000
4.7060 1.8024 0.0000
-3.3160 0.0000 5.1330
Cd Re Sb
2 1 1
direct
0.0000 0.0000 0.0000
0.2129 0.2129 0.7871
0.5011 0.5011 0.3534
0.8090 0.8090 0.3962
```

=====

No. 8
VASP calculation (PBE-GGA) on a geometry-optimized Sr4Pa3ReN8 structure.

Computed properties:
- DOS at the Fermi energy: 2.7 states/eV/cell
- E_form (uncorrected): -1653 kJ/mol of formula units
- Crystal system: trigonal

Cell and atoms, written as POSCAR:
```
Sr4Pa3ReN8
1.0
3.5045 2.0233 5.9694
-3.5045 2.0233 5.9694
0.0000 -4.0467 5.9694
Sr Pa Re N
4 3 1 8
direct
0.0000 0.0000 0.0000
0.0000 0.5000 0.5000
0.5000 0.0000 0.5000
0.5000 0.5000 0.0000
0.0000 0.0000 0.5000
0.0000 0.5000 0.0000
0.5000 0.0000 0.0000
0.5000 0.5000 0.5000
0.2277 0.7369 0.7369
0.2336 0.2336 0.2336
0.2631 0.2631 0.7723
0.2631 0.7723 0.2631
0.7369 0.2277 0.7369
0.7369 0.7369 0.2277
0.7664 0.7664 0.7664
0.7723 0.2631 0.2631
```

=====

No. 9
VASP calculation (PBE-GGA) on a geometry-optimized PuTiMnCo structure.

Computed properties:
- DOS at the Fermi energy: 4.5 states/eV/cell
- Crystal system: cubic
- Formation enthalpy at 0 K: -0.0325 eV per atom

Cell and atoms, written as POSCAR:
```
PuTiMnCo
1.0
0.0000 3.1368 3.1368
3.1368 0.0000 3.1368
3.1368 3.1368 0.0000
Pu Ti Mn Co
1 1 1 1
direct
0.0000 0.0000 0.0000
0.5000 0.5000 0.5000
0.2500 0.2500 0.2500
0.7500 0.7500 0.7500
```

=====

No. 10
VASP calculation (PBE-GGA) on a geometry-optimized SrCu2Ir structure.

Computed properties:
- DOS at the Fermi energy: 2.5 states/eV/cell
- Energy above the lowest structure with this stoichiometry: 397 meV/atom
- Crystal system: orthorhombic
- Formation enthalpy at 0 K: 0.3109 eV per atom

Cell and atoms, written as POSCAR:
```
SrCu2Ir
1.0
-1.6255 2.3703 4.5946
1.6255 -2.3703 4.5946
1.6255 2.3703 -4.5946
Sr Cu Ir
1 2 1
direct
0.0000 0.0000 0.0000
0.2792 0.7792 0.5000
0.4967 0.4967 0.0000
0.7198 0.2198 0.5000
```

=====

No. 11
VASP calculation (PBE-GGA) on a geometry-optimized CsNaCdHg2 structure.

Computed properties:
- DOS at the Fermi energy: 2.0 states/eV/cell
- Energy above the lowest structure with this stoichiometry: 0 meV/atom
- Crystal system: tetragonal
- Formation enthalpy at 0 K: -0.1835 eV per atom

Cell and atoms, written as POSCAR:
```
CsNaCdHg2
1.0
-2.4411 2.4411 7.4946
2.4411 -2.4411 7.4946
2.4411 2.4411 -7.4946
Cs Na Cd Hg
1 1 1 2
direct
0.0000 0.0000 0.0000
0.7500 0.2500 0.5000
0.2500 0.7500 0.5000
0.3849 0.3849 0.0000
0.6151 0.6151 0.0000
```

=====

No. 12
VASP calculation (PBE-GGA) on a geometry-optimized UCu2HgI8 structure.

Computed properties:
- DOS at the Fermi energy: 1.9 states/eV/cell
- E_form (uncorrected): -412 kJ/mol of formula units
- Crystal system: monoclinic

Cell and atoms, written as POSCAR:
```
UCu2HgI8
1.0
6.0750 -4.1950 0.0000
6.0750 4.1950 0.0000
-4.3929 0.0000 10.5363
U Cu Hg I
1 2 1 8
direct
0.0000 0.0000 0.0000
0.2808 0.2808 0.7866
0.7192 0.7192 0.2134
0.5000 0.5000 0.5000
0.1433 0.1433 0.5576
0.1708 0.6747 0.7997
0.2432 0.2432 0.9955
0.3253 0.8292 0.2003
0.6747 0.1708 0.7997
0.7568 0.7568 0.0045
0.8292 0.3253 0.2003
0.8567 0.8567 0.4424
```

=====

No. 13
VASP calculation (PBE-GGA) on a geometry-optimized HoPuMnZn structure.

Computed properties:
- DOS at the Fermi energy: 6.6 states/eV/cell
- Crystal system: cubic
- Formation enthalpy at 0 K: 0.0076 eV per atom

Cell and atoms, written as POSCAR:
```
HoPuMnZn
1.0
0.0000 3.5064 3.5064
3.5064 0.0000 3.5064
3.5064 3.5064 0.0000
Ho Pu Mn Zn
1 1 1 1
direct
0.0000 0.0000 0.0000
0.5000 0.5000 0.5000
0.2500 0.2500 0.2500
0.7500 0.7500 0.7500
```

=====

No. 14
VASP calculation (PBE-GGA) on a geometry-optimized DyYHo5 structure.

Computed properties:
- DOS at the Fermi energy: 17.0 states/eV/cell
- Energy above the lowest structure with this stoichiometry: 0 meV/atom
- Crystal system: monoclinic
- Formation enthalpy at 0 K: 0.1903 eV per atom

Cell and atoms, written as POSCAR:
```
DyYHo5
1.0
5.8146 -3.3528 0.0000
5.8146 3.3528 0.0000
-4.1519 0.0000 11.3988
Dy Y Ho
2 2 10
direct
0.0270 0.9730 0.7500
0.9730 0.0270 0.2500
0.0000 0.5000 0.0000
0.5000 0.0000 0.5000
0.1414 0.4191 0.7528
0.1881 0.6547 0.4993
0.3453 0.8119 0.0007
0.4170 0.5830 0.2500
0.4191 0.1414 0.2528
0.5809 0.8586 0.7472
0.5830 0.4170 0.7500
0.6547 0.1881 0.9993
0.8119 0.3453 0.5007
0.8586 0.5809 0.2472
```

=====

No. 15
VASP calculation (PBE-GGA) on a geometry-optimized GaNi4Ge2 structure.

Computed properties:
- DOS at the Fermi energy: 7.3 states/eV/cell
- Energy above the lowest structure with this stoichiometry: 578 meV/atom
- Crystal system: tetragonal
- Formation enthalpy at 0 K: 0.4042 eV per atom

Cell and atoms, written as POSCAR:
```
GaNi4Ge2
1.0
-2.1404 2.1404 6.0516
2.1404 -2.1404 6.0516
2.1404 2.1404 -6.0516
Ga Ni Ge
1 4 2
direct
0.0000 0.0000 0.0000
0.0000 0.5000 0.5000
0.1919 0.1919 0.0000
0.5000 0.0000 0.5000
0.8081 0.8081 0.0000
0.3794 0.3794 0.0000
0.6206 0.6206 0.0000
```

=====

No. 16
VASP calculation (PBE-GGA) on a geometry-optimized NaPr4In4 structure.

Computed properties:
- DOS at the Fermi energy: 15.8 states/eV/cell
- Crystal system: tetragonal
- Formation enthalpy at 0 K: -0.2728 eV per atom

Cell and atoms, written as POSCAR:
```
NaPr4In4
1.0
9.1801 0.0000 0.0000
0.0000 9.1801 0.0000
0.0000 0.0000 6.3460
Na Pr In
2 8 8
direct
0.2500 0.2500 0.2500
0.7500 0.7500 0.7500
0.0771 0.8220 0.6141
0.1780 0.5771 0.1141
0.3220 0.9229 0.1141
0.4229 0.6780 0.6141
0.5771 0.3220 0.3859
0.6780 0.0771 0.8859
0.8220 0.4229 0.8859
0.9229 0.1780 0.3859
0.0548 0.1550 0.8750
0.1550 0.4452 0.6250
0.3450 0.0548 0.6250
0.4452 0.3450 0.8750
0.5548 0.6550 0.1250
0.6550 0.9452 0.3750
0.8450 0.5548 0.3750
0.9452 0.8450 0.1250
```

=====

No. 17
VASP calculation (PBE-GGA) on a geometry-optimized NpI2Br5 structure.

Computed properties:
- DOS at the Fermi energy: 11.0 states/eV/cell
- E_form (uncorrected): -562 kJ/mol of formula units
- Crystal system: tetragonal

Cell and atoms, written as POSCAR:
```
NpI2Br5
1.0
-5.8576 5.8576 2.8962
5.8576 -5.8576 2.8962
5.8576 5.8576 -2.8962
Np I Br
1 2 5
direct
0.0000 0.0000 0.0000
0.2538 0.7538 0.5000
0.7538 0.2538 0.5000
0.1590 0.1590 0.3186
0.1590 0.8404 0.0000
0.5001 0.5001 0.0000
0.8404 0.1590 0.0000
0.8404 0.8404 0.6814
```

=====

No. 18
VASP calculation (PBE-GGA) on a geometry-optimized Zr3Tc4Mo structure.

Computed properties:
- DOS at the Fermi energy: 6.7 states/eV/cell
- Crystal system: tetragonal
- Formation enthalpy at 0 K: -0.2772 eV per atom

Cell and atoms, written as POSCAR:
```
Zr3Tc4Mo
1.0
3.2380 0.0000 0.0000
0.0000 3.2380 0.0000
0.0000 0.0000 13.0998
Zr Tc Mo
3 4 1
direct
0.0000 0.0000 0.0000
0.0000 0.0000 0.2527
0.0000 0.0000 0.7473
0.5000 0.5000 0.1284
0.5000 0.5000 0.3855
0.5000 0.5000 0.6145
0.5000 0.5000 0.8716
0.0000 0.0000 0.5000
```

=====

No. 19
VASP calculation (PBE-GGA) on a geometry-optimized Ta4Ni3 structure.

Computed properties:
- DOS at the Fermi energy: 7.3 states/eV/cell
- Energy above the lowest structure with this stoichiometry: 63 meV/atom
- Crystal system: tetragonal
- Formation enthalpy at 0 K: -0.1437 eV per atom

Cell and atoms, written as POSCAR:
```
Ta4Ni3
1.0
-1.5774 1.5774 10.7222
1.5774 -1.5774 10.7222
1.5774 1.5774 -10.7222
Ta Ni
4 3
direct
0.0713 0.0713 0.0000
0.3426 0.3426 0.0000
0.6574 0.6574 0.0000
0.9287 0.9287 0.0000
0.2185 0.2185 0.0000
0.5000 0.5000 0.0000
0.7815 0.7815 0.0000
```

=====

No. 20
VASP calculation (PBE-GGA) on a geometry-optimized Pr6PPd2I3 structure.

Computed properties:
- DOS at the Fermi energy: 10.7 states/eV/cell
- E_form (uncorrected): -1136 kJ/mol of formula units
- Crystal system: monoclinic

Cell and atoms, written as POSCAR:
```
Pr6PPd2I3
1.0
3.7460 -6.4661 0.0000
3.7460 6.4661 0.0000
-2.4784 0.0000 7.8457
Pr P Pd I
6 1 2 3
direct
0.1018 0.4347 0.8055
0.2312 0.2312 0.1944
0.4347 0.1018 0.8055
0.5653 0.8982 0.1945
0.7688 0.7688 0.8056
0.8982 0.5653 0.1945
0.5000 0.5000 0.0000
0.1669 0.8331 0.0000
0.8331 0.1669 0.0000
0.0000 0.0000 0.5000
0.3365 0.6635 0.5000
0.6635 0.3365 0.5000
```

=====

No. 21
VASP calculation (PBE-GGA) on a geometry-optimized Zr2V2ZnRu5 structure.

Computed properties:
- DOS at the Fermi energy: 12.9 states/eV/cell
- Crystal system: tetragonal
- Formation enthalpy at 0 K: -0.1858 eV per atom

Cell and atoms, written as POSCAR:
```
Zr2V2ZnRu5
1.0
9.9291 0.0000 0.0000
0.0000 9.9291 0.0000
0.0000 0.0000 3.2289
Zr V Zn Ru
4 4 2 10
direct
0.1730 0.3270 0.0000
0.3270 0.8270 0.0000
0.6730 0.1730 0.0000
0.8270 0.6730 0.0000
0.1294 0.6294 0.0000
0.3706 0.1294 0.0000
0.6294 0.8706 0.0000
0.8706 0.3706 0.0000
0.0000 0.0000 0.0000
0.5000 0.5000 0.0000
0.0000 0.5000 0.5000
0.0639 0.7979 0.5000
0.2021 0.0639 0.5000
0.2979 0.5639 0.5000
0.4361 0.2979 0.5000
0.5000 0.0000 0.5000
0.5639 0.7021 0.5000
0.7021 0.4361 0.5000
0.7979 0.9361 0.5000
0.9361 0.2021 0.5000
```

=====

No. 22
VASP calculation (PBE-GGA) on a geometry-optimized Rb2CrRhI6 structure.

Computed properties:
- DOS at the Fermi energy: 1.4 states/eV/cell
- E_form (uncorrected): -614 kJ/mol of formula units
- Crystal system: tetragonal

Cell and atoms, written as POSCAR:
```
Rb2CrRhI6
1.0
-4.0028 4.0028 5.6706
4.0028 -4.0028 5.6706
4.0028 4.0028 -5.6706
Rb Cr Rh I
2 1 1 6
direct
0.2500 0.7500 0.5000
0.7500 0.2500 0.5000
0.0000 0.0000 0.0000
0.5000 0.5000 0.0000
0.2539 0.2539 0.0000
0.2541 0.2541 0.5082
0.2541 0.7459 0.0000
0.7459 0.2541 0.0000
0.7461 0.7461 0.0000
0.7459 0.7459 0.4918
```

=====

no.,ρ (g/cm3)
1,6.09
2,8.50
3,3.35
4,4.25
5,7.92
6,7.42
7,10.16
8,8.77
9,10.91
10,9.54
11,6.22
12,4.89
13,10.19
14,8.04
15,6.74
16,6.49
17,3.72
18,9.21
19,14.00
20,6.42
21,8.92
22,4.97